# 1
Density functional theory data (PBE) for an optimized crystal structure of AgBS3.

a = 4.260 Å, b = 4.260 Å, c = 4.260 Å
α = 90.00°, β = 90.00°, γ = 90.00°
Element x y z (fractional)
S (0.000, 0.500, 0.000)
S (0.500, 0.000, 0.000)
S (0.000, 0.000, 0.500)
Ag (0.500, 0.500, 0.500)
B (0.000, 0.000, 0.000)

- Relative energy among the computed polymorphs: 836 meV/atom
- Symmetry: Pm-3m (221)
- E: -3.612 eV/atom
- ρ: 4.6 g cm⁻³
- Uncorrected formation energy: 0.771 eV/atom
- Magnetic moment: 0.0 μB/f.u.

# 2
Density functional theory data (PBE) for an optimized crystal structure of SrBePt3.

a = 10.202 Å, b = 7.731 Å, c = 7.731 Å
α = 102.62°, β = 127.04°, γ = 52.96°
Element x y z (fractional)
Be (0.833, 0.650, 0.452)
Be (0.333, 0.048, 0.850)
Be (0.167, 0.350, 0.548)
Be (0.667, 0.952, 0.150)
Pt (0.731, 0.661, 0.642)
Pt (0.928, 0.733, 0.055)
Pt (0.014, 0.733, 0.468)
Pt (0.428, 0.445, 0.767)
Pt (0.986, 0.267, 0.532)
Pt (0.572, 0.555, 0.233)
Pt (0.486, 0.968, 0.233)
Pt (0.769, 0.142, 0.161)
Pt (0.269, 0.339, 0.358)
Pt (0.514, 0.032, 0.767)
Pt (0.231, 0.858, 0.839)
Pt (0.072, 0.267, 0.945)
Sr (0.250, 0.478, 0.978)
Sr (0.250, 0.873, 0.373)
Sr (0.750, 0.127, 0.627)
Sr (0.750, 0.522, 0.022)

- Relative energy among the computed polymorphs: 141 meV/atom
- Symmetry: C2/c (15)
- E: -5.309 eV/atom
- ρ: 12.0 g cm⁻³
- Magnetic moment: 0.0 μB/f.u.